Record 1
Compound: Dy4CdPdRh2
Source: Alexandria
Functional: GGA-PBE
Structure: relaxed

a = 8.619 Å, b = 8.619 Å, c = 8.619 Å
α = 33.59°, β = 33.59°, γ = 33.59°
Sites, in units of the cell vectors:
Dy (0.120, 0.120, 0.120)
Dy (0.371, 0.371, 0.371)
Dy (0.629, 0.629, 0.629)
Dy (0.880, 0.880, 0.880)
Cd (0.500, 0.500, 0.500)
Pd (0.000, 0.000, 0.000)
Rh (0.249, 0.249, 0.249)
Rh (0.751, 0.751, 0.751)

Computed properties:
The density of states at the Fermi level is 5.31 states/eV per cell. Its space-group type is R-3m (166). As for the formation energy: -0.7061 eV per atom.

***

Record 2
Compound: DyScCdPd
Source: Alexandria
Functional: GGA-PBE
Structure: relaxed

a = 4.990 Å, b = 4.990 Å, c = 4.990 Å
α = 60.00°, β = 60.00°, γ = 60.00°
Sites, in units of the cell vectors:
Dy (0.000, 0.000, 0.000)
Sc (0.500, 0.500, 0.500)
Cd (0.250, 0.250, 0.250)
Pd (0.750, 0.750, 0.750)

Computed properties:
The density of states at the Fermi level is 2.85 states/eV per cell. Its space-group type is F-43m (216). As for the formation energy: -0.5251 eV per atom.

***

Record 3
Compound: SmDy2CdPd4
Source: Alexandria
Functional: GGA-PBE
Structure: relaxed

a = 8.501 Å, b = 8.501 Å, c = 8.501 Å
α = 33.56°, β = 33.56°, γ = 33.56°
Sites, in units of the cell vectors:
Sm (0.000, 0.000, 0.000)
Dy (0.243, 0.243, 0.243)
Dy (0.757, 0.757, 0.757)
Cd (0.500, 0.500, 0.500)
Pd (0.122, 0.122, 0.122)
Pd (0.375, 0.375, 0.375)
Pd (0.625, 0.625, 0.625)
Pd (0.878, 0.878, 0.878)

Computed properties:
The density of states at the Fermi level is 4.81 states/eV per cell. Its space-group type is R-3m (166). As for the formation energy: -0.7778 eV per atom.

***

Record 4
Compound: DyCdSnPd
Source: Alexandria
Functional: GGA-PBE
Structure: relaxed

a = 4.966 Å, b = 4.966 Å, c = 4.966 Å
α = 60.00°, β = 60.00°, γ = 60.00°
Sites, in units of the cell vectors:
Dy (0.000, 0.000, 0.000)
Cd (0.250, 0.250, 0.250)
Sn (0.500, 0.500, 0.500)
Pd (0.750, 0.750, 0.750)

Computed properties:
The density of states at the Fermi level is 1.92 states/eV per cell. Its space-group type is F-43m (216). As for the formation energy: -0.5251 eV per atom.

***

Record 5
Compound: TbDyCdPd
Source: Alexandria
Functional: GGA-PBE
Structure: relaxed

a = 3.608 Å, b = 3.608 Å, c = 7.363 Å
α = 90.00°, β = 90.00°, γ = 90.00°
Sites, in units of the cell vectors:
Tb (0.000, 0.000, 0.000)
Dy (0.000, 0.000, 0.455)
Cd (0.500, 0.500, 0.726)
Pd (0.500, 0.500, 0.230)

Computed properties:
The energy above the most stable polymorph in this dataset is 0.0 meV per atom. The density of states at the Fermi level is 3.01 states/eV per cell. Its space-group type is P4mm (99). As for the formation energy: -0.6012 eV per atom.

***

Record 6
Compound: TbDyCdPd
Source: Alexandria
Functional: GGA-PBE
Structure: relaxed

a = 5.132 Å, b = 5.132 Å, c = 5.132 Å
α = 60.00°, β = 60.00°, γ = 60.00°
Sites, in units of the cell vectors:
Tb (0.000, 0.000, 0.000)
Dy (0.500, 0.500, 0.500)
Cd (0.250, 0.250, 0.250)
Pd (0.750, 0.750, 0.750)

Computed properties:
The energy above the most stable polymorph in this dataset is 54.4 meV per atom. The density of states at the Fermi level is 2.44 states/eV per cell. Its space-group type is F-43m (216). As for the formation energy: -0.5469 eV per atom.

***

Record 7
Compound: TbDy2CdPd4
Source: Alexandria
Functional: GGA-PBE
Structure: relaxed

a = 8.467 Å, b = 8.467 Å, c = 8.467 Å
α = 33.54°, β = 33.54°, γ = 33.54°
Sites, in units of the cell vectors:
Tb (0.000, 0.000, 0.000)
Dy (0.244, 0.244, 0.244)
Dy (0.756, 0.756, 0.756)
Cd (0.500, 0.500, 0.500)
Pd (0.121, 0.121, 0.121)
Pd (0.373, 0.373, 0.373)
Pd (0.627, 0.627, 0.627)
Pd (0.879, 0.879, 0.879)

Computed properties:
The density of states at the Fermi level is 4.61 states/eV per cell. Its space-group type is R-3m (166). As for the formation energy: -0.8073 eV per atom.

***

Record 8
Compound: DyTlCdPd
Source: Alexandria
Functional: GGA-PBE
Structure: relaxed

a = 4.993 Å, b = 4.993 Å, c = 4.993 Å
α = 60.00°, β = 60.00°, γ = 60.00°
Sites, in units of the cell vectors:
Dy (0.000, 0.000, 0.000)
Tl (0.750, 0.750, 0.750)
Cd (0.500, 0.500, 0.500)
Pd (0.250, 0.250, 0.250)

Computed properties:
The density of states at the Fermi level is 0.76 states/eV per cell. Its space-group type is F-43m (216). As for the formation energy: -0.4173 eV per atom.

***

Record 9
Compound: Dy4Tl2CdPd
Source: Alexandria
Functional: GGA-PBE
Structure: relaxed

a = 9.041 Å, b = 9.041 Å, c = 9.041 Å
α = 33.87°, β = 33.87°, γ = 33.87°
Sites, in units of the cell vectors:
Dy (0.117, 0.117, 0.117)
Dy (0.369, 0.369, 0.369)
Dy (0.631, 0.631, 0.631)
Dy (0.883, 0.883, 0.883)
Tl (0.244, 0.244, 0.244)
Tl (0.756, 0.756, 0.756)
Cd (0.500, 0.500, 0.500)
Pd (0.000, 0.000, 0.000)

Computed properties:
The density of states at the Fermi level is 4.97 states/eV per cell. Its space-group type is R-3m (166). As for the formation energy: -0.4614 eV per atom.

***

Record 10
Compound: DyTm2CdPd4
Source: Alexandria
Functional: GGA-PBE
Structure: relaxed

a = 8.388 Å, b = 8.388 Å, c = 8.388 Å
α = 33.58°, β = 33.58°, γ = 33.58°
Sites, in units of the cell vectors:
Dy (0.000, 0.000, 0.000)
Tm (0.244, 0.244, 0.244)
Tm (0.756, 0.756, 0.756)
Cd (0.500, 0.500, 0.500)
Pd (0.122, 0.122, 0.122)
Pd (0.373, 0.373, 0.373)
Pd (0.627, 0.627, 0.627)
Pd (0.878, 0.878, 0.878)

Computed properties:
The density of states at the Fermi level is 4.95 states/eV per cell. Its space-group type is R-3m (166). As for the formation energy: -0.8337 eV per atom.

***

Record 11
Compound: DyZnCdPd
Source: Alexandria
Functional: GGA-PBE
Structure: relaxed

a = 4.815 Å, b = 4.815 Å, c = 4.815 Å
α = 60.00°, β = 60.00°, γ = 60.00°
Sites, in units of the cell vectors:
Dy (0.000, 0.000, 0.000)
Zn (0.750, 0.750, 0.750)
Cd (0.500, 0.500, 0.500)
Pd (0.250, 0.250, 0.250)

Computed properties:
The density of states at the Fermi level is 3.25 states/eV per cell. Its space-group type is F-43m (216). As for the formation energy: -0.4912 eV per atom.

***

Record 12
Compound: Dy2Zn2CdPd5
Source: Alexandria
Functional: GGA-PBE
Structure: relaxed

a = 9.725 Å, b = 9.725 Å, c = 3.818 Å
α = 90.00°, β = 90.00°, γ = 90.00°
Sites, in units of the cell vectors:
Dy (0.177, 0.323, 0.000)
Dy (0.323, 0.823, 0.000)
Dy (0.677, 0.177, 0.000)
Dy (0.823, 0.677, 0.000)
Zn (0.119, 0.619, 0.000)
Zn (0.381, 0.119, 0.000)
Zn (0.619, 0.881, 0.000)
Zn (0.881, 0.381, 0.000)
Cd (0.000, 0.000, 0.000)
Cd (0.500, 0.500, 0.000)
Pd (0.000, 0.500, 0.500)
Pd (0.070, 0.793, 0.500)
Pd (0.207, 0.070, 0.500)
Pd (0.293, 0.570, 0.500)
Pd (0.430, 0.293, 0.500)
Pd (0.500, 0.000, 0.500)
Pd (0.570, 0.707, 0.500)
Pd (0.707, 0.430, 0.500)
Pd (0.793, 0.930, 0.500)
Pd (0.930, 0.207, 0.500)

Computed properties:
The density of states at the Fermi level is 6.27 states/eV per cell. Its space-group type is P4/mbm (127). As for the formation energy: -0.6774 eV per atom.

***

Record 13
Compound: Pm4Dy3Cd
Source: Alexandria
Functional: GGA-PBE
Structure: relaxed

a = 4.109 Å, b = 4.109 Å, c = 15.041 Å
α = 90.00°, β = 90.00°, γ = 90.00°
Sites, in units of the cell vectors:
Pm (0.000, 0.000, 0.116)
Pm (0.000, 0.000, 0.376)
Pm (0.000, 0.000, 0.624)
Pm (0.000, 0.000, 0.884)
Dy (0.500, 0.500, 0.250)
Dy (0.500, 0.500, 0.500)
Dy (0.500, 0.500, 0.750)
Cd (0.500, 0.500, 0.000)

Computed properties:
The density of states at the Fermi level is 14.38 states/eV per cell. Its space-group type is P4/mmm (123). As for the formation energy: 0.0204 eV per atom.

***

Record 14
Compound: PmDyCd2
Source: Alexandria
Functional: GGA-PBE
Structure: relaxed

a = 3.765 Å, b = 3.765 Å, c = 7.671 Å
α = 90.00°, β = 90.00°, γ = 90.00°
Sites, in units of the cell vectors:
Pm (0.000, 0.000, 0.000)
Dy (0.000, 0.000, 0.500)
Cd (0.500, 0.500, 0.263)
Cd (0.500, 0.500, 0.737)

Computed properties:
The energy above the most stable polymorph in this dataset is 2.0 meV per atom. The density of states at the Fermi level is 4.49 states/eV per cell. Its space-group type is P4/mmm (123). As for the formation energy: -0.3166 eV per atom.

***

Record 15
Compound: PmDy4Cd5
Source: Alexandria
Functional: GGA-PBE
Structure: relaxed

a = 3.754 Å, b = 3.754 Å, c = 18.884 Å
α = 90.00°, β = 90.00°, γ = 90.00°
Sites, in units of the cell vectors:
Pm (0.000, 0.000, 0.000)
Dy (0.000, 0.000, 0.203)
Dy (0.000, 0.000, 0.401)
Dy (0.000, 0.000, 0.599)
Dy (0.000, 0.000, 0.797)
Cd (0.500, 0.500, 0.106)
Cd (0.500, 0.500, 0.302)
Cd (0.500, 0.500, 0.500)
Cd (0.500, 0.500, 0.698)
Cd (0.500, 0.500, 0.894)

Computed properties:
The density of states at the Fermi level is 11.96 states/eV per cell. Its space-group type is P4/mmm (123). As for the formation energy: -0.3169 eV per atom.

***

Record 16
Compound: PmDyCd3
Source: Alexandria
Functional: GGA-PBE
Structure: relaxed

a = 14.976 Å, b = 14.976 Å, c = 5.003 Å
α = 90.00°, β = 90.00°, γ = 166.58°
Sites, in units of the cell vectors:
Pm (0.075, 0.925, 0.750)
Pm (0.925, 0.075, 0.250)
Dy (0.215, 0.785, 0.250)
Dy (0.785, 0.215, 0.750)
Cd (0.324, 0.676, 0.250)
Cd (0.378, 0.622, 0.750)
Cd (0.476, 0.524, 0.750)
Cd (0.524, 0.476, 0.250)
Cd (0.622, 0.378, 0.250)
Cd (0.676, 0.324, 0.750)

Computed properties:
The density of states at the Fermi level is 9.57 states/eV per cell. Its space-group type is Cmcm (63). As for the formation energy: -0.3055 eV per atom.

***

Record 17
Compound: PmDy4Cd
Source: Alexandria
Functional: GGA-PBE
Structure: relaxed

a = 3.585 Å, b = 3.585 Å, c = 14.142 Å
α = 90.00°, β = 90.00°, γ = 90.00°
Sites, in units of the cell vectors:
Pm (0.000, 0.000, 0.000)
Dy (0.000, 0.000, 0.355)
Dy (0.000, 0.000, 0.645)
Dy (0.500, 0.500, 0.179)
Dy (0.500, 0.500, 0.821)
Cd (0.500, 0.500, 0.500)

Computed properties:
The energy above the most stable polymorph in this dataset is 0.0 meV per atom. The density of states at the Fermi level is 8.37 states/eV per cell. Its space-group type is P4/mmm (123). As for the formation energy: -0.0891 eV per atom.

***

Record 18
Compound: Pm3Dy2Cd4
Source: Alexandria
Functional: GGA-PBE
Structure: relaxed

a = 10.289 Å, b = 10.289 Å, c = 8.131 Å
α = 90.00°, β = 90.00°, γ = 142.13°
Sites, in units of the cell vectors:
Pm (0.000, 0.000, 0.000)
Pm (0.004, 0.496, 0.250)
Pm (0.496, 0.004, 0.750)
Pm (0.500, 0.500, 0.500)
Pm (0.504, 0.996, 0.250)
Pm (0.996, 0.504, 0.750)
Dy (0.090, 0.910, 0.400)
Dy (0.410, 0.590, 0.900)
Dy (0.590, 0.410, 0.100)
Dy (0.910, 0.090, 0.600)
Cd (0.156, 0.844, 0.021)
Cd (0.171, 0.329, 0.250)
Cd (0.329, 0.171, 0.750)
Cd (0.344, 0.656, 0.521)
Cd (0.656, 0.344, 0.479)
Cd (0.671, 0.829, 0.250)
Cd (0.829, 0.671, 0.750)
Cd (0.844, 0.156, 0.979)

Computed properties:
The density of states at the Fermi level is 18.36 states/eV per cell. Its space-group type is Cmce (64). As for the formation energy: -0.1222 eV per atom.

***

Record 19
Compound: Pm4DyCd2
Source: Alexandria
Functional: GGA-PBE
Structure: relaxed

a = 9.350 Å, b = 9.350 Å, c = 9.350 Å
α = 34.77°, β = 34.77°, γ = 34.77°
Sites, in units of the cell vectors:
Pm (0.130, 0.130, 0.130)
Pm (0.264, 0.264, 0.264)
Pm (0.736, 0.736, 0.736)
Pm (0.870, 0.870, 0.870)
Dy (0.500, 0.500, 0.500)
Cd (0.384, 0.384, 0.384)
Cd (0.616, 0.616, 0.616)

Computed properties:
The density of states at the Fermi level is 9.98 states/eV per cell. Its space-group type is R-3m (166). As for the formation energy: 0.1059 eV per atom.

***

Record 20
Compound: Pm8DyCd6
Source: Alexandria
Functional: GGA-PBE
Structure: relaxed

a = 8.380 Å, b = 8.380 Å, c = 8.380 Å
α = 66.04°, β = 66.04°, γ = 66.04°
Sites, in units of the cell vectors:
Pm (0.046, 0.718, 0.384)
Pm (0.166, 0.166, 0.166)
Pm (0.282, 0.616, 0.954)
Pm (0.384, 0.046, 0.718)
Pm (0.616, 0.954, 0.282)
Pm (0.718, 0.384, 0.046)
Pm (0.834, 0.834, 0.834)
Pm (0.954, 0.282, 0.616)
Dy (0.500, 0.500, 0.500)
Cd (0.122, 0.451, 0.779)
Cd (0.221, 0.878, 0.549)
Cd (0.451, 0.779, 0.122)
Cd (0.549, 0.221, 0.878)
Cd (0.779, 0.122, 0.451)
Cd (0.878, 0.549, 0.221)

Computed properties:
The density of states at the Fermi level is 19.88 states/eV per cell. Its space-group type is R-3 (148). As for the formation energy: -0.0888 eV per atom.